Density functional theory data (PBE) for EuTlGePb after structural relaxation.

Structure (CIF):
```
data_EuTlGePb
_cell_length_a 7.6844
_cell_length_b 7.6844
_cell_length_c 7.6844
_cell_angle_alpha 90.00
_cell_angle_beta 90.00
_cell_angle_gamma 90.00
_symmetry_space_group_name_H-M 'F -4 3 m'
_symmetry_Int_Tables_number 216
_symmetry_space_group_name_Hall 'F -4 2 3'
loop_
_atom_site_label
_atom_site_fract_x
_atom_site_fract_y
_atom_site_fract_z
Eu1 0.0000 0.0000 0.0000
Tl1 0.2500 0.2500 0.7500
Ge1 0.2500 0.2500 0.2500
Pb1 0.0000 0.0000 0.5000
```

## Properties
DOS(E_F): 8.55 states/eV per cell
energy relative to the elements: -0.19 eV/atom